SrH2S: optimized geometry, PBE.

Output
density = 3.7 g cm⁻³
DFT total energy = -3.4054 eV per atom
size of the total moment = 0.00 μB per formula unit

abc: 6.019 6.019 6.019
angles: 90.00 90.00 90.00
Space group Fm-3m (No. 225)
Asymmetric unit:
Sr  0.000  0.000  0.000
H  0.250  0.250  0.250
S  0.000  0.000  0.500

=====

BeCd2CoRh: optimized geometry, PBE.

Output
density = 7.4 g cm⁻³
DFT total energy = -3.2236 eV per atom
size of the total moment = 0.01 μB per formula unit
ΔE_f = 779 meV/atom

abc: 4.795 4.795 3.838
angles: 90.00 90.00 90.00
Space group P4/mmm (No. 123)
Asymmetric unit:
Be  0.000  0.000  0.000
Cd  0.000  0.500  0.500
Co  0.000  0.000  0.500
Rh  0.500  0.500  0.000

=====

ErTiFe11: optimized geometry, PBE.

Output
density = 8.2 g cm⁻³
DFT total energy = -8.2062 eV per atom
size of the total moment = 21.11 μB per formula unit
ΔE_f = -87 meV/atom

abc: 4.702 8.406 8.490
angles: 90.00 90.00 90.00
Space group Imm2 (No. 44)
Asymmetric unit:
Er  0.000  0.000  0.000
Ti  0.000  0.000  0.625
Fe  0.000  0.000  0.348
Fe  0.000  0.285  0.493
Fe  0.000  0.355  0.994
Fe  0.000  0.500  0.267
Fe  0.000  0.500  0.725
Fe  0.249  0.249  0.245

=====

LaZnPb2: optimized geometry, PBE.

Output
density = 8.9 g cm⁻³
DFT total energy = -3.5950 eV per atom
size of the total moment = 0.00 μB per formula unit
ΔE_f = -191 meV/atom

abc: 3.557 4.809 6.760
angles: 90.00 90.39 90.00
Space group P2/m (No. 10)
Asymmetric unit:
La  0.000  0.000  0.000
Zn  0.500  0.000  0.500
Pb  0.494  0.500  0.743

=====

HoLuCd2: optimized geometry, PBE.

Output
density = 9.3 g cm⁻³
DFT total energy = -3.0412 eV per atom
size of the total moment = 0.00 μB per formula unit
ΔE_f = -309 meV/atom

abc: 5.201 5.201 3.742
angles: 90.00 90.00 90.00
Space group P4/mmm (No. 123)
Asymmetric unit:
Ho  0.000  0.000  0.000
Lu  0.500  0.500  0.000
Cd  0.000  0.500  0.500

=====

DyCoB: optimized geometry, PBE.

Output
density = 8.9 g cm⁻³
DFT total energy = -6.3940 eV per atom
size of the total moment = 0.00 μB per formula unit
ΔE_f = -266 meV/atom

abc: 3.404 3.884 6.534
angles: 90.00 90.00 90.00
Space group Pmma (No. 51)
Asymmetric unit:
Dy  0.250  0.000  0.238
Co  0.250  0.500  0.611
B  0.250  0.500  0.933